# 1
Computed, not measured: a relaxed structure of Rb2TcPdSe6 at the PBE level of DFT.

a = 7.2825 Å, b = 7.2825 Å, c = 7.2825 Å
α = 58.24°, β = 58.24°, γ = 58.24°
Closest atoms and distances in Å follow each position.
Element x y z (fractional)
1 Pd 0.5382 0.5382 0.5382  3 Se 2.49
2 Rb 0.2420 0.2420 0.2420  12 Se 3.55-3.69, 1 Tc 3.88
3 Rb 0.7344 0.7344 0.7344  12 Se 3.54-3.76, 1 Pd 3.55
4 Se 0.7726 0.7685 0.1830  1 Pd 2.49, 1 Tc 2.74
5 Se 0.2559 0.7228 0.2532  1 Tc 2.36
6 Se 0.7228 0.2532 0.2559  1 Tc 2.36
7 Se 0.2532 0.2559 0.7228  1 Tc 2.36
8 Se 0.1830 0.7726 0.7685  1 Pd 2.49, 1 Tc 2.74
9 Se 0.7685 0.1830 0.7726  1 Pd 2.49, 1 Tc 2.74
10 Tc 0.0275 0.0275 0.0275  3 Se 2.36

Calculated values
For the raw total energy, the calculation gives -4.213 eV per atom. Its total magnetic moment is 0.017 μB/atom.

# 2
Computed, not measured: a relaxed structure of Y4Hf2Tl3C3 at the PBE level of DFT.

a = 6.1167 Å, b = 6.1167 Å, c = 16.0169 Å
α = 101.21°, β = 101.21°, γ = 60.13°
Closest atoms and distances in Å follow each position.
Element x y z (fractional)
1 C 0.6512 0.1976 0.0000  2 Hf 2.24, 2 Y 2.50
2 C 0.0000 0.5000 0.0000  2 Hf 2.29, 4 Y 2.50
3 C 0.3488 0.8024 0.0000  2 Hf 2.24, 2 Y 2.50
4 C 0.1976 0.6512 0.5000  2 Hf 2.24, 2 Y 2.50
5 C 0.5000 0.0000 0.5000  2 Hf 2.29, 4 Y 2.50
6 C 0.8024 0.3488 0.5000  2 Hf 2.24, 2 Y 2.50
7 Hf 0.3508 0.5243 0.0729  3 C 2.24-2.29
8 Hf 0.4757 0.6492 0.4272  3 C 2.24-2.29
9 Hf 0.5243 0.3508 0.5729  3 C 2.24-2.29
10 Hf 0.6492 0.4757 0.9271  3 C 2.24-2.29
11 Tl 0.7157 0.5830 0.2491  2 Tl 3.17, 4 Y 3.29-3.32, 2 Hf 3.32
12 Tl 0.1178 0.8822 0.2500  2 Tl 3.17, 4 Y 3.28-3.29, 2 Hf 3.31
13 Tl 0.4170 0.2843 0.2509  2 Tl 3.17, 4 Y 3.29-3.32, 2 Hf 3.32
14 Tl 0.5830 0.7157 0.7491  2 Tl 3.17, 4 Y 3.29-3.32, 2 Hf 3.32
15 Tl 0.8822 0.1178 0.7500  2 Tl 3.17, 4 Y 3.28-3.29, 2 Hf 3.31
16 Tl 0.2843 0.4170 0.7509  2 Tl 3.17, 4 Y 3.29-3.32, 2 Hf 3.32
17 Y 0.0365 0.1907 0.0901  3 C 2.50-2.57
18 Y 0.6960 0.8709 0.0902  3 C 2.50-2.57
19 Y 0.1291 0.3040 0.4098  3 C 2.50-2.57
20 Y 0.8093 0.9635 0.4099  3 C 2.50-2.57
21 Y 0.1907 0.0365 0.5901  3 C 2.50-2.57
22 Y 0.8709 0.6960 0.5902  3 C 2.50-2.57
23 Y 0.3040 0.1291 0.9098  3 C 2.50-2.57
24 Y 0.9635 0.8093 0.9099  3 C 2.50-2.57

Calculated values
For the raw total energy, the calculation gives -7.190 eV per atom. Its total magnetic moment is 0.001 μB/atom.

# 3
Computed, not measured: a relaxed structure of Y2TlNiAg at the PBE level of DFT.

a = 3.7278 Å, b = 7.7025 Å, c = 7.7025 Å
α = 31.26°, β = 90.00°, γ = 90.00°
Closest atoms and distances in Å follow each position.
Element x y z (fractional)
1 Ag 0.0000 0.7996 0.7996  2 Ni 2.60
2 Ni 0.0000 0.1936 0.1936  2 Ag 2.60, 1 Tl 2.80
3 Tl 0.0000 0.0051 0.0051  1 Ni 2.80, 1 Ag 3.05
4 Y 0.5000 0.3698 0.3698  4 Ag 2.98, 2 Ni 3.21
5 Y 0.5000 0.6319 0.6319  4 Ni 2.94, 2 Ag 3.11

Calculated values
For the raw total energy, the calculation gives -5.095 eV per atom. Its total magnetic moment is 0.002 μB/atom.

# 4
Computed, not measured: a relaxed structure of DyHg3S4Cl at the PBE level of DFT.

a = 7.9363 Å, b = 7.9363 Å, c = 8.0657 Å
α = 90.00°, β = 90.00°, γ = 120.00°
Closest atoms and distances in Å follow each position.
Element x y z (fractional)
1 Cl 0.6667 0.3333 0.0542  6 Hg 3.02-3.10
2 Cl 0.3333 0.6667 0.5542  6 Hg 3.02-3.10
3 Dy 0.0000 0.0000 0.1051  6 S 2.78-2.83
4 Dy 0.0000 0.0000 0.6051  6 S 2.78-2.83
5 Hg 0.0140 0.5070 0.2831  3 S 2.53-2.58
6 Hg 0.4930 0.5070 0.2831  3 S 2.53-2.58
7 Hg 0.4930 0.9860 0.2831  3 S 2.53-2.58
8 Hg 0.5070 0.0140 0.7831  3 S 2.53-2.58
9 Hg 0.5070 0.4930 0.7831  3 S 2.53-2.58
10 Hg 0.9860 0.4930 0.7831  3 S 2.53-2.58
11 S 0.3333 0.6667 0.1282  3 Hg 2.53
12 S 0.2835 0.1418 0.3502  2 Hg 2.58, 2 Dy 2.78-2.83
13 S 0.8582 0.1418 0.3502  2 Hg 2.58, 2 Dy 2.78-2.83
14 S 0.8582 0.7165 0.3502  2 Hg 2.58, 2 Dy 2.78-2.83
15 S 0.6667 0.3333 0.6282  3 Hg 2.53
16 S 0.1418 0.2835 0.8502  2 Hg 2.58, 2 Dy 2.78-2.83
17 S 0.1418 0.8582 0.8502  2 Hg 2.58, 2 Dy 2.78-2.83
18 S 0.7165 0.8582 0.8502  2 Hg 2.58, 2 Dy 2.78-2.83

Calculated values
For the raw total energy, the calculation gives -3.308 eV per atom. Its total magnetic moment is 0.000 μB/atom.

# 5
Computed, not measured: a relaxed structure of Li2Pm2Cu15 at the PBE level of DFT.

a = 6.4964 Å, b = 6.4964 Å, c = 6.4964 Å
α = 82.71°, β = 82.71°, γ = 82.71°
Closest atoms and distances in Å follow each position.
Element x y z (fractional)
1 Cu 0.5000 0.0000 0.0000  8 Cu 2.48, 2 Li 2.65
2 Cu 0.6996 0.3004 0.0000  8 Cu 2.48-2.62
3 Cu 0.0000 0.5000 0.0000  8 Cu 2.48, 2 Li 2.65
4 Cu 0.3004 0.6996 0.0000  8 Cu 2.48-2.62
5 Cu 0.6568 0.6568 0.1577  8 Cu 2.48-2.62, 1 Li 2.69
6 Cu 0.6996 0.0000 0.3004  8 Cu 2.48-2.62
7 Cu 0.0000 0.6996 0.3004  8 Cu 2.48-2.62
8 Cu 0.8423 0.3432 0.3432  8 Cu 2.48-2.62, 1 Li 2.69
9 Cu 0.3432 0.8423 0.3432  8 Cu 2.48-2.62, 1 Li 2.69
10 Cu 0.0000 0.0000 0.5000  8 Cu 2.48, 2 Li 2.65
11 Cu 0.6568 0.1577 0.6568  8 Cu 2.48-2.62, 1 Li 2.69
12 Cu 0.1577 0.6568 0.6568  8 Cu 2.48-2.62, 1 Li 2.69
13 Cu 0.3004 0.0000 0.6996  8 Cu 2.48-2.62
14 Cu 0.0000 0.3004 0.6996  8 Cu 2.48-2.62
15 Cu 0.3432 0.3432 0.8423  8 Cu 2.48-2.62, 1 Li 2.69
16 Li 0.0932 0.0932 0.0932  1 Li 2.35
17 Li 0.9068 0.9068 0.9068  1 Li 2.35
18 Pm 0.3452 0.3452 0.3452  18 Cu 3.02-3.35, 1 Li 3.18
19 Pm 0.6548 0.6548 0.6548  18 Cu 3.02-3.35, 1 Li 3.18

Calculated values
For the raw total energy, the calculation gives -3.764 eV per atom. Its total magnetic moment is 0.001 μB/atom.

# 6
Computed, not measured: a relaxed structure of ReAsAu at the PBE level of DFT.

a = 4.1536 Å, b = 4.1536 Å, c = 6.0956 Å
α = 90.00°, β = 90.00°, γ = 90.00°
Closest atoms and distances in Å follow each position.
Element x y z (fractional)
1 As 0.0000 0.5000 0.2481  1 Au 2.56, 4 Re 2.57
2 As 0.5000 0.0000 0.7519  1 Au 2.56, 4 Re 2.57
3 Au 0.5000 0.0000 0.3317  1 As 2.56
4 Au 0.0000 0.5000 0.6683  1 As 2.56
5 Re 0.0000 0.0000 0.0000  4 As 2.57
6 Re 0.5000 0.5000 0.0000  4 As 2.57

Calculated values
For the raw total energy, the calculation gives -6.485 eV per atom. Its total magnetic moment is 0.010 μB/atom. As for the polymorph energy (0 for the lowest one): 0 meV per atom.

# 7
Computed, not measured: a relaxed structure of UCoPt at the PBE level of DFT.

a = 4.4213 Å, b = 4.4213 Å, c = 4.4213 Å
α = 60.00°, β = 60.00°, γ = 60.00°
Closest atoms and distances in Å follow each position.
Element x y z (fractional)
1 Co 0.7500 0.7500 0.7500  4 U 2.71
2 Pt 0.2500 0.2500 0.2500  4 U 2.71
3 U 0.0000 0.0000 0.0000  4 Co 2.71, 4 Pt 2.71

Calculated values
For the raw total energy, the calculation gives -8.003 eV per atom. Its total magnetic moment is 0.331 μB/atom. Its formation energy from the elements is 0.15 eV per atom.

# 8
Computed, not measured: a relaxed structure of NbTcOs2 at the PBE level of DFT.

a = 4.4344 Å, b = 4.4344 Å, c = 4.4344 Å
α = 60.00°, β = 60.00°, γ = 60.00°
Closest atoms and distances in Å follow each position.
Element x y z (fractional)
1 Nb 0.2500 0.2500 0.2500  4 Os 2.72, 4 Tc 2.72
2 Os 0.5000 0.5000 0.5000  4 Nb 2.72, 4 Os 2.72
3 Os 0.7500 0.7500 0.7500  4 Tc 2.72, 4 Os 2.72
4 Tc 0.0000 0.0000 0.0000  4 Os 2.72, 4 Nb 2.72

Calculated values
For the raw total energy, the calculation gives -10.452 eV per atom. Its total magnetic moment is 0.009 μB/atom. Its formation energy from the elements is 0.27 eV per atom.

# 9
Computed, not measured: a relaxed structure of TmCdFe at the PBE level of DFT.

a = 4.5395 Å, b = 4.5395 Å, c = 4.5395 Å
α = 60.00°, β = 60.00°, γ = 60.00°
Closest atoms and distances in Å follow each position.
Element x y z (fractional)
1 Cd 0.2500 0.2500 0.2500  4 Fe 2.78
2 Fe 0.0000 0.0000 0.0000  4 Tm 2.78, 4 Cd 2.78
3 Tm 0.7500 0.7500 0.7500  4 Fe 2.78

Calculated values
For the raw total energy, the calculation gives -4.247 eV per atom. Its total magnetic moment is 0.556 μB/atom. Its formation energy from the elements is 0.31 eV per atom.

# 10
Computed, not measured: a relaxed structure of ZnCO3 at the PBE level of DFT.

a = 4.2167 Å, b = 4.2167 Å, c = 3.2059 Å
α = 93.57°, β = 93.57°, γ = 70.12°
Closest atoms and distances in Å follow each position.
Element x y z (fractional)
1 C 0.9812 0.9812 0.8989  3 O 1.26-1.30
2 O 0.8264 0.2925 0.0267  1 C 1.30
3 O 0.2925 0.8264 0.0267  1 C 1.30
4 O 0.8481 0.8481 0.6054  1 C 1.26
5 Zn 0.5618 0.5618 0.5273  5 O 1.97-2.06

Calculated values
For the raw total energy, the calculation gives -6.302 eV per atom.

# 11
Computed, not measured: a relaxed structure of GdTmU at the PBE level of DFT.

a = 5.2624 Å, b = 5.2624 Å, c = 5.2624 Å
α = 60.00°, β = 60.00°, γ = 60.00°
Closest atoms and distances in Å follow each position.
Element x y z (fractional)
1 Gd 0.2500 0.2500 0.2500  4 Tm 3.22
2 Tm 0.0000 0.0000 0.0000  4 Gd 3.22, 4 U 3.22
3 U 0.7500 0.7500 0.7500  4 Tm 3.22

Calculated values
For the raw total energy, the calculation gives -5.541 eV per atom. Its total magnetic moment is 1.236 μB/atom. As for the polymorph energy (0 for the lowest one): 0 meV per atom. Its formation energy from the elements is 1.27 eV per atom.

# 12
Computed, not measured: a relaxed structure of AgPdW at the PBE level of DFT.

a = 4.2798 Å, b = 4.2798 Å, c = 4.2798 Å
α = 60.00°, β = 60.00°, γ = 60.00°
Closest atoms and distances in Å follow each position.
Element x y z (fractional)
1 Ag 0.2500 0.2500 0.2500  4 Pd 2.62
2 Pd 0.0000 0.0000 0.0000  4 Ag 2.62, 4 W 2.62
3 W 0.7500 0.7500 0.7500  4 Pd 2.62

Calculated values
For the raw total energy, the calculation gives -6.079 eV per atom. Its total magnetic moment is 0.035 μB/atom. As for the polymorph energy (0 for the lowest one): 0 meV per atom. Its formation energy from the elements is 0.91 eV per atom.